VASP calculation (GGA-PBE) on a relaxed CePuOs crystal.

spin magnetization: 5.05 μB per formula unit
ΔE to the lowest computed polymorph: 73.3 meV/atom
D(E_F): 7.84 states/eV/cell
energy of formation: -0.06 eV per atom

abc: 3.4444 3.4444 5.7336
angles: 107.48 107.48 90.00
Closest atoms and distances in Å follow each position.
Fractional positions:
Pu (0.3277, 0.3277, 0.6555)  4 Os 2.93, 4 Ce 3.03
Ce (0.0016, 0.0016, 0.0032)  4 Os 3.00, 4 Pu 3.03
Os (0.6707, 0.6707, 0.3414)  4 Pu 2.93, 4 Ce 3.00